[1]
Compound: Re10Ni3
Source: OQMD via LeMat-Bulk
Functional: PBE
Structure: optimized geometry

The calculated formation energy is 191 meV/atom. Its spin magnetization is 0.02 μB/cell. The total energy is -10.65 eV/atom.

Unit cell a=4.9950 b=4.9950 c=26.1512 alpha=90.00 beta=90.00 gamma=120.00
Space group R-3m (No. 166, hexagonal axes)
Symmetry-distinct sites (fractional):
Re 0.0000 0.0000 0.1426
Re 0.0000 0.0000 0.3348
Re 0.0040 0.5020 0.9111
Ni 0.0000 0.0000 0.0449
Ni 0.0000 0.0000 0.5000

[2]
Compound: ReNi14
Source: OQMD via LeMat-Bulk
Functional: PBE
Structure: optimized geometry

The calculated formation energy is 100 meV/atom. Its spin magnetization is 7.23 μB/cell. The total energy is -5.92 eV/atom.

Unit cell a=8.638 b=8.638 c=4.536 alpha=90.00 beta=90.00 gamma=90.00
Space group P4_2/mnm (No. 136)
Symmetry-distinct sites (fractional):
Re 0.000 0.000 0.000
Ni 0.039 0.368 0.500
Ni 0.066 0.267 0.000
Ni 0.099 0.099 0.500
Ni 0.182 0.818 0.252

[3]
Compound: Re5Ni8
Source: OQMD via LeMat-Bulk
Functional: PBE
Structure: optimized geometry

The calculated formation energy is 74 meV/atom. Its spin magnetization is 0.02 μB/cell. The total energy is -8.13 eV/atom.

Unit cell a=4.6443 b=4.6443 c=25.9210 alpha=90.00 beta=90.00 gamma=120.00
Space group R-3m (No. 166, hexagonal axes)
Symmetry-distinct sites (fractional):
Re 0.0000 0.0000 0.0000
Re 0.0000 0.0000 0.1622
Re 0.0000 0.0000 0.4543
Ni 0.0000 0.0000 0.3467
Ni 0.0030 0.5015 0.4097

[4]
Compound: Re16Ni13
Source: OQMD via LeMat-Bulk
Functional: PBE
Structure: optimized geometry

The calculated formation energy is 66 meV/atom. Its spin magnetization is 0.03 μB/cell. The total energy is -9.28 eV/atom.

Unit cell a=9.107 b=9.107 c=9.107 alpha=90.00 beta=90.00 gamma=90.00
Space group I-43m (No. 217)
Symmetry-distinct sites (fractional):
Re 0.044 0.360 0.640
Re 0.180 0.180 0.180
Ni 0.000 0.000 0.000
Ni 0.089 0.089 0.725

[5]
Compound: Re4Ni9
Source: OQMD via LeMat-Bulk
Functional: PBE
Structure: optimized geometry

The calculated formation energy is 6 meV/atom. Its spin magnetization is 0.01 μB/cell. The total energy is -7.67 eV/atom.

Unit cell a=4.5972 b=4.5972 c=25.0062 alpha=90.00 beta=90.00 gamma=120.00
Space group R-3m (No. 166, hexagonal axes)
Symmetry-distinct sites (fractional):
Re 0.0000 0.0000 0.1494
Re 0.0000 0.0000 0.3329
Ni 0.0000 0.0000 0.0471
Ni 0.0000 0.0000 0.5000
Ni 0.0022 0.5011 0.9111

[6]
Compound: Re8Ni7
Source: OQMD via LeMat-Bulk
Functional: PBE
Structure: optimized geometry

The calculated formation energy is 62 meV/atom. Its spin magnetization is 0.12 μB/cell. The total energy is -9.16 eV/atom.

Unit cell a=8.971 b=8.971 c=4.843 alpha=90.00 beta=90.00 gamma=90.00
Space group P4_2/mnm (No. 136)
Symmetry-distinct sites (fractional):
Re 0.035 0.367 0.000
Re 0.183 0.817 0.249
Ni 0.000 0.000 0.500
Ni 0.065 0.256 0.500
Ni 0.095 0.095 0.000

[7]
Compound: Re5Ni7
Source: OQMD via LeMat-Bulk
Functional: PBE
Structure: optimized geometry

The calculated formation energy is 330 meV/atom. Its spin magnetization is 0.90 μB/cell. The total energy is -8.09 eV/atom.

Unit cell a=4.9096 b=4.9096 c=14.9972 alpha=90.00 beta=90.00 gamma=120.00
Space group P6_3/mmc (No. 194)
Symmetry-distinct sites (fractional):
Re 0.0000 0.5000 0.0000
Re 0.3333 0.6667 0.1650
Ni 0.0000 0.0000 0.0887
Ni 0.1561 0.3121 0.7500
Ni 0.3333 0.6667 0.6336

[8]
Compound: ReNi3
Source: OQMD via LeMat-Bulk
Functional: PBE
Structure: optimized geometry

The calculated formation energy is -2 meV/atom. Its spin magnetization is 0.01 μB/cell. The total energy is -7.28 eV/atom.

Unit cell a=4.183 b=5.042 c=4.388 alpha=90.00 beta=90.00 gamma=90.00
Space group Pmmn (No. 59, origin choice 2)
Symmetry-distinct sites (fractional):
Re 0.250 0.250 0.162
Ni 0.250 0.501 0.662
Ni 0.250 0.750 0.156

[9]
Compound: Re5Ni8
Source: OQMD via LeMat-Bulk
Functional: PBE
Structure: optimized geometry

The calculated formation energy is 79 meV/atom. Its spin magnetization is 0.04 μB/cell. The total energy is -8.12 eV/atom.

Unit cell a=4.6525 b=4.6525 c=25.7911 alpha=90.00 beta=90.00 gamma=120.00
Space group R-3m (No. 166, hexagonal axes)
Symmetry-distinct sites (fractional):
Re 0.0000 0.0000 0.0000
Re 0.0000 0.0000 0.3509
Re 0.0000 0.0000 0.4532
Ni 0.0000 0.0000 0.1657
Ni 0.0038 0.5019 0.4134

[10]
Compound: Re25Ni4
Source: OQMD via LeMat-Bulk
Functional: PBE
Structure: optimized geometry

The calculated formation energy is 44 meV/atom. Its spin magnetization is 0.01 μB/cell. The total energy is -11.43 eV/atom.

Unit cell a=9.516 b=9.516 c=9.516 alpha=90.00 beta=90.00 gamma=90.00
Space group I-43m (No. 217)
Symmetry-distinct sites (fractional):
Re 0.000 0.000 0.000
Re 0.046 0.358 0.642
Re 0.092 0.092 0.714
Ni 0.159 0.159 0.159

[11]
Compound: Re16Ni13
Source: OQMD via LeMat-Bulk
Functional: PBE
Structure: optimized geometry

The calculated formation energy is 128 meV/atom. Its spin magnetization is 0.01 μB/cell. The total energy is -9.22 eV/atom.

Unit cell a=9.197 b=9.197 c=9.197 alpha=90.00 beta=90.00 gamma=90.00
Space group I-43m (No. 217)
Symmetry-distinct sites (fractional):
Re 0.093 0.093 0.711
Re 0.174 0.174 0.174
Ni 0.000 0.000 0.000
Ni 0.040 0.360 0.640

[12]
Compound: Re2Ni
Source: OQMD via LeMat-Bulk
Functional: PBE
Structure: optimized geometry

The calculated formation energy is 395 meV/atom. Its spin magnetization is 0.01 μB/cell. The total energy is -9.74 eV/atom.

Unit cell a=5.0469 b=5.0469 c=15.6285 alpha=90.00 beta=90.00 gamma=120.00
Space group P6_3/mmc (No. 194)
Symmetry-distinct sites (fractional):
Re 0.0000 0.0000 0.0875
Re 0.0000 0.5000 0.0000
Re 0.1599 0.3198 0.2500
Ni 0.3333 0.6667 0.1272
Ni 0.3333 0.6667 0.6557

What is the calculated formation energy in the eighth record? -2 meV/atom